Nb2AlMoO: relaxed, GGA+U.

Unit cell a=5.0717 b=5.0717 c=3.7600 alpha=90.00 beta=90.00 gamma=90.00
With the nearest neighbours (Å) after each atom.
Space group P4/mmm (No. 123)
One atom of each set of equivalent atoms:
Nb 0.0000 0.5000 0.0000 (multiplicity 2)  2 Mo 2.54
Al 0.0000 0.0000 0.5000 (multiplicity 1)  8 Nb 3.16
Mo 0.5000 0.5000 0.0000 (multiplicity 1)  2 O 1.88
O 0.5000 0.5000 0.5000 (multiplicity 1)  2 Mo 1.88

Its magnetic moment is 0.00 Bohr magnetons per cell. Its relative energy among the computed polymorphs is 0.031 eV/atom.